Below is crystalline La2PdPt5Au2 at its relaxed geometry, with properties calculated at the PBE-GGA level.

Cell lengths 9.7935, 9.7935, 4.1310 Å; angles 90.00, 90.00, 90.00 degrees
Positions (direct):
La 0.1765 0.3235 0.0000
La 0.3235 0.8235 0.0000
La 0.6765 0.1765 0.0000
La 0.8235 0.6765 0.0000
Pd 0.0000 0.0000 0.0000
Pd 0.5000 0.5000 0.0000
Pt 0.0000 0.5000 0.5000
Pt 0.0431 0.8000 0.5000
Pt 0.2000 0.0431 0.5000
Pt 0.3000 0.5431 0.5000
Pt 0.4569 0.3000 0.5000
Pt 0.5000 0.0000 0.5000
Pt 0.5431 0.7000 0.5000
Pt 0.7000 0.4569 0.5000
Pt 0.8000 0.9569 0.5000
Pt 0.9569 0.2000 0.5000
Au 0.1248 0.6248 0.0000
Au 0.3752 0.1248 0.0000
Au 0.6248 0.8752 0.0000
Au 0.8752 0.3752 0.0000

Computed properties:
Volume   396 Å³ per cell

Below is crystalline CeBi at its relaxed geometry, with properties calculated at the PBE-GGA level.

Cell lengths 4.6035, 4.6035, 4.6035 Å; angles 60.00, 60.00, 60.00 degrees
Positions (direct):
Ce 0.0000 0.0000 0.0000
Bi 0.5000 0.5000 0.5000

Computed properties:
Volume   69 Å³ per cell

Below is crystalline LiTbScAg at its relaxed geometry, with properties calculated at the PBE-GGA level.

Cell lengths 5.0265, 5.0265, 5.0265 Å; angles 60.00, 60.00, 60.00 degrees
Positions (direct):
Li 0.0000 0.0000 0.0000
Tb 0.7500 0.7500 0.7500
Sc 0.2500 0.2500 0.2500
Ag 0.5000 0.5000 0.5000

Computed properties:
Volume   90 Å³ per cell

Number 1: energy of formation from the pure elements -0.615 eV per atom, theoretical density 14.70 g/cm3. Number 2: energy of formation from the pure elements -0.790 eV per atom, theoretical density 8.40 g/cm3. Number 3: energy of formation from the pure elements -0.071 eV per atom, theoretical density 5.89 g/cm3.